No. 1
{
  "formula": "ScZnReAg2",
  "functional": "GGA-PBE",
  "state": "optimized geometry",
  "crystal_system": "tetragonal",
  "formation_enthalpy_0k_ev_per_atom": 1.500,
  "dft_energy_ev_per_atom": -3.651,
  "lattice_angstrom": [[5.0432, 0.0000, 0.0000], [0.0000, 5.0432, 0.0000], [0.0000, 0.0000, 4.6916]],
  "species": ["Sc", "Zn", "Re", "Ag", "Ag"],
  "fractional_positions": [[0.0000, 0.0000, 0.0000], [0.5000, 0.5000, 0.5000], [0.0000, 0.0000, 0.5000], [0.0000, 0.5000, 0.0000], [0.5000, 0.0000, 0.0000]]
}

No. 2
{
  "formula": "ZrScReAg",
  "functional": "GGA-PBE",
  "state": "optimized geometry",
  "crystal_system": "cubic",
  "formation_enthalpy_0k_ev_per_atom": -0.134,
  "dft_energy_ev_per_atom": -7.679,
  "lattice_angstrom": [[0.0000, 3.3426, 3.3426], [3.3426, 0.0000, 3.3426], [3.3426, 3.3426, 0.0000]],
  "species": ["Zr", "Sc", "Re", "Ag"],
  "fractional_positions": [[0.0000, 0.0000, 0.0000], [0.5000, 0.5000, 0.5000], [0.7500, 0.7500, 0.7500], [0.2500, 0.2500, 0.2500]]
}

No. 3
{
  "formula": "ReAgSe2",
  "functional": "GGA-PBE",
  "state": "optimized geometry",
  "crystal_system": "orthorhombic",
  "dft_energy_ev_per_atom": -5.086,
  "polymorph_energy_ev_per_atom": 0.348,
  "raw_formation_energy_ev_per_atom": 0.4808,
  "lattice_angstrom": [[1.5457, -2.4438, 0.0000], [1.5457, 2.4438, 0.0000], [0.0000, 0.0000, 10.2678]],
  "species": ["Re", "Ag", "Se", "Se"],
  "fractional_positions": [[0.0000, 0.0000, 0.0000], [0.5000, 0.5000, 0.7638], [0.0000, 0.0000, 0.5252], [0.5000, 0.5000, 0.1874]]
}

No. 4
{
  "formula": "ReAgSe2",
  "functional": "GGA-PBE",
  "state": "optimized geometry",
  "crystal_system": "monoclinic",
  "dft_energy_ev_per_atom": -5.184,
  "polymorph_energy_ev_per_atom": 0.250,
  "raw_formation_energy_ev_per_atom": 0.3832,
  "lattice_angstrom": [[2.7302, 0.0000, 0.0000], [0.0000, 3.1532, 0.0000], [-0.1599, 0.0000, 9.7584]],
  "species": ["Re", "Ag", "Se", "Se"],
  "fractional_positions": [[0.0000, 0.0000, 0.0000], [0.0000, 0.0000, 0.5000], [0.0135, 0.5000, 0.2021], [0.9865, 0.5000, 0.7979]]
}

No. 5
{
  "formula": "ReAgSe2",
  "functional": "GGA-PBE",
  "state": "optimized geometry",
  "crystal_system": "orthorhombic",
  "dft_energy_ev_per_atom": -5.077,
  "polymorph_energy_ev_per_atom": 0.358,
  "raw_formation_energy_ev_per_atom": 0.4906,
  "lattice_angstrom": [[1.5102, -2.4986, 0.0000], [1.5102, 2.4986, 0.0000], [0.0000, 0.0000, 10.5082]],
  "species": ["Re", "Ag", "Se", "Se"],
  "fractional_positions": [[0.0000, 0.0000, 0.0000], [0.0000, 0.0000, 0.5000], [0.5000, 0.5000, 0.1986], [0.5000, 0.5000, 0.8014]]
}

No. 6
{
  "formula": "ReAgSe2",
  "functional": "GGA-PBE",
  "state": "optimized geometry",
  "crystal_system": "tetragonal",
  "dft_energy_ev_per_atom": -4.675,
  "polymorph_energy_ev_per_atom": 0.759,
  "raw_formation_energy_ev_per_atom": 0.8920,
  "lattice_angstrom": [[-1.9371, 1.9371, 4.8606], [1.9371, -1.9371, 4.8606], [1.9371, 1.9371, -4.8606]],
  "species": ["Re", "Ag", "Se", "Se"],
  "fractional_positions": [[0.0000, 0.0000, 0.0000], [0.7500, 0.2500, 0.5000], [0.2500, 0.7500, 0.5000], [0.5000, 0.5000, 0.0000]]
}

No. 7
{
  "formula": "ReAgSe2",
  "functional": "GGA-PBE",
  "state": "optimized geometry",
  "crystal_system": "orthorhombic",
  "dft_energy_ev_per_atom": -5.293,
  "polymorph_energy_ev_per_atom": 0.141,
  "raw_formation_energy_ev_per_atom": 0.2741,
  "lattice_angstrom": [[-1.5156, 2.4410, 5.9224], [1.5156, -2.4410, 5.9224], [1.5156, 2.4410, -5.9224]],
  "species": ["Re", "Ag", "Se", "Se"],
  "fractional_positions": [[0.0000, 0.0000, 0.0000], [0.5000, 0.5000, 0.0000], [0.1657, 0.6657, 0.5000], [0.8343, 0.3343, 0.5000]]
}

No. 8
{
  "formula": "ReAgSe2",
  "functional": "GGA-PBE",
  "state": "optimized geometry",
  "crystal_system": "tetragonal",
  "dft_energy_ev_per_atom": -5.308,
  "polymorph_energy_ev_per_atom": 0.126,
  "raw_formation_energy_ev_per_atom": 0.2591,
  "lattice_angstrom": [[3.0148, 0.0000, 0.0000], [0.0000, 3.0148, 0.0000], [0.0000, 0.0000, 9.1867]],
  "species": ["Re", "Ag", "Se", "Se"],
  "fractional_positions": [[0.0000, 0.0000, 0.0000], [0.0000, 0.0000, 0.5000], [0.5000, 0.5000, 0.1716], [0.5000, 0.5000, 0.8284]]
}

No. 9
{
  "formula": "ReAgSe",
  "functional": "GGA-PBE",
  "state": "optimized geometry",
  "crystal_system": "orthorhombic",
  "dft_energy_ev_per_atom": -5.627,
  "polymorph_energy_ev_per_atom": 0.329,
  "raw_formation_energy_ev_per_atom": 0.6342,
  "lattice_angstrom": [[0.0000, 2.4796, 7.5041], [1.5034, 0.0000, 7.5041], [1.5034, 2.4796, 0.0000]],
  "species": ["Re", "Ag", "Se"],
  "fractional_positions": [[0.0000, 0.0000, 0.0000], [0.3381, 0.3381, 0.6619], [0.6300, 0.6300, 0.3700]]
}

No. 10
{
  "formula": "ReAgSe2",
  "functional": "GGA-PBE",
  "state": "optimized geometry",
  "crystal_system": "tetragonal",
  "dft_energy_ev_per_atom": -5.260,
  "polymorph_energy_ev_per_atom": 0.174,
  "raw_formation_energy_ev_per_atom": 0.3074,
  "lattice_angstrom": [[2.9557, 0.0000, 0.0000], [0.0000, 2.9557, 0.0000], [0.0000, 0.0000, 9.2530]],
  "species": ["Re", "Ag", "Se", "Se"],
  "fractional_positions": [[0.0000, 0.0000, 0.0000], [0.5000, 0.5000, 0.7737], [0.0000, 0.0000, 0.5374], [0.5000, 0.5000, 0.1567]]
}

No. 11
{
  "formula": "ReAgSe2",
  "functional": "GGA-PBE",
  "state": "optimized geometry",
  "crystal_system": "monoclinic",
  "dft_energy_ev_per_atom": -5.434,
  "polymorph_energy_ev_per_atom": 0.000,
  "raw_formation_energy_ev_per_atom": 0.1333,
  "lattice_angstrom": [[3.5130, -1.5935, 0.0000], [3.5130, 1.5935, 0.0000], [-2.4313, 0.0000, 7.8892]],
  "species": ["Re", "Ag", "Se", "Se"],
  "fractional_positions": [[0.0000, 0.0000, 0.0000], [0.5000, 0.5000, 0.5000], [0.3601, 0.3601, 0.1759], [0.6399, 0.6399, 0.8241]]
}

No. 12
{
  "formula": "ReAgSe2",
  "functional": "GGA-PBE",
  "state": "optimized geometry",
  "crystal_system": "monoclinic",
  "dft_energy_ev_per_atom": -5.211,
  "polymorph_energy_ev_per_atom": 0.223,
  "raw_formation_energy_ev_per_atom": 0.3562,
  "lattice_angstrom": [[3.2740, 0.0000, 0.0000], [0.0000, 3.8593, 0.0000], [-1.5085, 0.0000, 7.0176]],
  "species": ["Re", "Ag", "Se", "Se"],
  "fractional_positions": [[0.0000, 0.0000, 0.0000], [0.4069, 0.5000, 0.7981], [0.0948, 0.5000, 0.2059], [0.8389, 0.0000, 0.6514]]
}